(1)
The following is a GGA-PBE calculation of an optimized crystal structure of MnVIr6, from the Alexandria database.

a b c (Å): 5.432 5.432 3.825
angles (deg): 90.00 90.00 90.00
Space group P4/mmm (No. 123)
One atom of each set of equivalent atoms:
Mn 0.000 0.000 0.000 x1
V 0.500 0.500 0.000 x1
Ir 0.000 0.500 0.000 x2
Ir 0.251 0.251 0.500 x4

For the magnetization, the calculation gives 2.80 μB/cell.

(2)
The following is a GGA-PBE calculation of an optimized crystal structure of MnVIr2, from the Alexandria database.

a b c (Å): 6.087 6.087 6.087
angles (deg): 90.00 90.00 90.00
Space group Fm-3m (No. 225)
One atom of each set of equivalent atoms:
Mn 0.000 0.000 0.000 x4
V 0.000 0.000 0.500 x4
Ir 0.250 0.250 0.250 x8

For the magnetization, the calculation gives 17.10 μB/cell.

(3)
The following is a GGA-PBE calculation of an optimized crystal structure of Mn3V4Ir, from the Alexandria database.

a b c (Å): 2.908 4.180 8.198
angles (deg): 90.00 90.00 90.00
Space group Pmmm (No. 47)
One atom of each set of equivalent atoms:
Mn 0.000 0.000 0.000 x1
Mn 0.000 0.500 0.250 x2
V 0.500 0.000 0.234 x2
V 0.500 0.500 0.000 x1
V 0.500 0.500 0.500 x1
Ir 0.000 0.000 0.500 x1

For the magnetization, the calculation gives 0.01 μB/cell.

(4)
The following is a GGA-PBE calculation of an optimized crystal structure of MnV3Ir4, from the Alexandria database.

a b c (Å): 3.176 3.176 11.251
angles (deg): 90.00 90.00 90.00
Space group P4/mmm (No. 123)
One atom of each set of equivalent atoms:
Mn 0.000 0.000 0.000 x1
V 0.000 0.000 0.245 x2
V 0.000 0.000 0.500 x1
Ir 0.500 0.500 0.129 x2
Ir 0.500 0.500 0.376 x2

For the magnetization, the calculation gives 1.75 μB/cell.

(5)
The following is a GGA-PBE calculation of an optimized crystal structure of Mn4V5Ir, from the Alexandria database.

a b c (Å): 2.883 2.883 14.768
angles (deg): 90.00 90.00 90.00
Space group P4/mmm (No. 123)
One atom of each set of equivalent atoms:
Mn 0.000 0.000 0.097 x2
Mn 0.000 0.000 0.292 x2
V 0.500 0.500 0.000 x1
V 0.500 0.500 0.194 x2
V 0.500 0.500 0.384 x2
Ir 0.000 0.000 0.500 x1

For the magnetization, the calculation gives 0.00 μB/cell.

(6)
The following is a GGA-PBE calculation of an optimized crystal structure of MnV3Ir6, from the Alexandria database.

a b c (Å): 7.207 4.317 9.393
angles (deg): 90.00 109.51 90.00
Space group P2_1/m (No. 11)
One atom of each set of equivalent atoms:
Mn 0.092 0.250 0.065 x2
V 0.087 0.750 0.737 x2
V 0.300 0.750 0.532 x2
V 0.305 0.250 0.870 x2
Ir 0.089 0.750 0.223 x2
Ir 0.108 0.250 0.572 x2
Ir 0.285 0.750 0.027 x2
Ir 0.298 0.250 0.365 x2
Ir 0.498 0.750 0.332 x2
Ir 0.499 0.750 0.832 x2

For the magnetization, the calculation gives 0.73 μB/cell.

(7)
The following is a GGA-PBE calculation of an optimized crystal structure of Mn3VIr4, from the Alexandria database.

a b c (Å): 3.674 3.844 7.681
angles (deg): 90.00 90.00 90.00
Space group Pmmm (No. 47)
One atom of each set of equivalent atoms:
Mn 0.000 0.000 0.000 x1
Mn 0.000 0.500 0.249 x2
V 0.000 0.000 0.500 x1
Ir 0.500 0.000 0.249 x2
Ir 0.500 0.500 0.000 x1
Ir 0.500 0.500 0.500 x1

For the magnetization, the calculation gives 1.46 μB/cell.

(8)
The following is a GGA-PBE calculation of an optimized crystal structure of Mn2VIr, from the Alexandria database.

a b c (Å): 3.580 3.580 18.021
angles (deg): 90.00 90.00 90.00
Space group I-42d (No. 122)
One atom of each set of equivalent atoms:
Mn 0.249 0.250 0.125 x8
V 0.000 0.000 0.000 x4
Ir 0.000 0.000 0.500 x4

For the magnetization, the calculation gives 20.86 μB/cell. The energy above the most stable polymorph in this dataset is 0.605 eV per atom.

(9)
The following is a GGA-PBE calculation of an optimized crystal structure of Mn2VIr, from the Alexandria database.

a b c (Å): 3.758 3.758 3.657
angles (deg): 90.00 90.00 90.00
Space group P4/mmm (No. 123)
One atom of each set of equivalent atoms:
Mn 0.000 0.500 0.000 x2
V 0.000 0.000 0.500 x1
Ir 0.500 0.500 0.500 x1

For the magnetization, the calculation gives 3.41 μB/cell. The energy above the most stable polymorph in this dataset is 0.023 eV per atom.

(10)
The following is a GGA-PBE calculation of an optimized crystal structure of MnVIrW, from the Alexandria database.

a b c (Å): 6.081 6.081 6.081
angles (deg): 90.00 90.00 90.00
Space group F-43m (No. 216)
One atom of each set of equivalent atoms:
Mn 0.000 0.000 0.000 x4
V 0.000 0.000 0.500 x4
Ir 0.250 0.250 0.750 x4
W 0.250 0.250 0.250 x4

For the magnetization, the calculation gives 11.33 μB/cell.

(11)
The following is a GGA-PBE calculation of an optimized crystal structure of MnIr4W3, from the Alexandria database.

a b c (Å): 3.914 3.914 15.429
angles (deg): 90.00 90.00 90.00
Space group I4/mmm (No. 139)
One atom of each set of equivalent atoms:
Mn 0.000 0.000 0.000 x2
Ir 0.000 0.500 0.123 x8
W 0.000 0.000 0.247 x4
W 0.000 0.000 0.500 x2

For the magnetization, the calculation gives 3.84 μB/cell.

(12)
The following is a GGA-PBE calculation of an optimized crystal structure of Mn2IrW, from the Alexandria database.

a b c (Å): 3.797 3.797 7.428
angles (deg): 90.00 90.00 90.00
Space group I4/mmm (No. 139)
One atom of each set of equivalent atoms:
Mn 0.000 0.500 0.250 x4
Ir 0.000 0.000 0.000 x2
W 0.000 0.000 0.500 x2

For the magnetization, the calculation gives 4.85 μB/cell.

Ordered ΔH_f (0 K) results: -7.491, -5.466, -6.288, -6.262, -6.821, -10.002, -8.556, 8.902, -4.520, -3.509, -6.039, -0.457; unit kcal/mol of atoms.
Ordered total energy results: -9.26, -9.24, -9.38, -9.27, -9.41, -9.40, -9.38, -8.69, -9.28, -10.18, -10.70, -10.06; unit eV/atom.